Sr2ReCl after structural relaxation. Source: Alexandria, functional PBE.

As for the total energy: -36.12 eV/cell. For the formation energy without anion corrections, the calculation gives -2.30 kcal/mol of atoms. The relative energy among the computed polymorphs comes out at 0.00 eV/f.u. Its size of the total moment is 0.384 μB per atom. The calculation puts the density of states at the Fermi level at 0.6079 states/eV/atom.

The structure belongs to space group Cmmm (No. 65); the cell edges are 4.9616, 4.9743 and 8.5007 Å and the angles 90.00°, 90.00° and 90.00°. Symmetry generates all atoms from Sr at (0.0000, 0.0000, 0.2389), Re at (0.0000, 0.5000, 0.0000) and Cl at (0.0000, 0.5000, 0.5000).

SrReCl2 after structural relaxation. Source: Alexandria, functional PBE.

As for the total energy: -34.52 eV/cell. For the formation energy without anion corrections, the calculation gives 3.24 kcal/mol of atoms. The relative energy among the computed polymorphs comes out at 1.50 eV/f.u. Its size of the total moment is 0.937 μB per atom. The calculation puts the density of states at the Fermi level at 0.5095 states/eV/atom.

The structure belongs to space group I-4m2 (No. 119); the cell edges are 4.0867, 4.0867 and 11.9648 Å and the angles 90.00°, 90.00° and 90.00°. Symmetry generates all atoms from Sr at (0.0000, 0.0000, 0.0000), Re at (0.0000, 0.5000, 0.2500), Cl at (0.0000, 0.0000, 0.5000) and Cl at (0.0000, 0.5000, 0.7500).

SrReCl2 after structural relaxation. Source: Alexandria, functional PBE.

As for the total energy: -64.39 eV/cell. For the formation energy without anion corrections, the calculation gives 9.96 kcal/mol of atoms. The relative energy among the computed polymorphs comes out at 2.66 eV/f.u. Its size of the total moment is 1.250 μB per atom. The calculation puts the density of states at the Fermi level at 0.8359 states/eV/atom.

The structure belongs to space group F-43m (No. 216); the cell edges are 7.5704, 7.5704 and 7.5704 Å and the angles 90.00°, 90.00° and 90.00°. Symmetry generates all atoms from Sr at (0.0000, 0.0000, 0.0000), Re at (0.2500, 0.2500, 0.7500), Cl at (0.0000, 0.0000, 0.5000) and Cl at (0.2500, 0.2500, 0.2500).

Sr2ReCl after structural relaxation. Source: Alexandria, functional PBE.

As for the total energy: -17.36 eV/cell. For the formation energy without anion corrections, the calculation gives 1.73 kcal/mol of atoms. The relative energy among the computed polymorphs comes out at 0.70 eV/f.u. Its size of the total moment is 0.367 μB per atom. The calculation puts the density of states at the Fermi level at 0.8736 states/eV/atom.

The structure belongs to space group Pmmm (No. 47); the cell edges are 3.4561, 5.1706 and 6.1224 Å and the angles 90.00°, 90.00° and 90.00°. Symmetry generates all atoms from Sr at (0.0000, 0.0000, 0.0000), Sr at (0.5000, 0.5000, 0.5000), Re at (0.0000, 0.0000, 0.5000) and Cl at (0.5000, 0.5000, 0.0000).

SrRe3Cl after structural relaxation. Source: Alexandria, functional PBE.

As for the total energy: -32.48 eV/cell. For the formation energy without anion corrections, the calculation gives 38.71 kcal/mol of atoms. The relative energy among the computed polymorphs comes out at 0.00 eV/f.u. Its size of the total moment is 0.377 μB per atom. The calculation puts the density of states at the Fermi level at 0.9652 states/eV/atom.

The structure belongs to space group Pm-3m (No. 221); the cell edges are 4.5486, 4.5486 and 4.5486 Å and the angles 90.00°, 90.00° and 90.00°. Symmetry generates all atoms from Sr at (0.0000, 0.0000, 0.0000), Re at (0.0000, 0.5000, 0.5000) and Cl at (0.5000, 0.5000, 0.5000).

SrReCl2 after structural relaxation. Source: Alexandria, functional PBE.

As for the total energy: -34.70 eV/cell. For the formation energy without anion corrections, the calculation gives 2.74 kcal/mol of atoms. The relative energy among the computed polymorphs comes out at 1.41 eV/f.u. Its size of the total moment is 1.250 μB per atom. The calculation puts the density of states at the Fermi level at 0.3006 states/eV/atom.

The structure belongs to space group Immm (No. 71); the cell edges are 4.1265, 6.1672 and 9.2765 Å and the angles 90.00°, 90.00° and 90.00°. Symmetry generates all atoms from Sr at (0.0000, 0.0000, 0.0000), Re at (0.0000, 0.0000, 0.5000) and Cl at (0.0000, 0.5000, 0.2840).

SrReCl3 after structural relaxation. Source: Alexandria, functional PBE.

As for the total energy: -21.61 eV/cell. For the formation energy without anion corrections, the calculation gives -8.95 kcal/mol of atoms. The relative energy among the computed polymorphs comes out at 0.00 eV/f.u. Its size of the total moment is 0.266 μB per atom. The calculation puts the density of states at the Fermi level at 0.7066 states/eV/atom.

The structure belongs to space group Pm-3m (No. 221); the cell edges are 4.8981, 4.8981 and 4.8981 Å and the angles 90.00°, 90.00° and 90.00°. Symmetry generates all atoms from Sr at (0.0000, 0.0000, 0.0000), Re at (0.5000, 0.5000, 0.5000) and Cl at (0.0000, 0.5000, 0.5000).

SrReCl2 after structural relaxation. Source: Alexandria, functional PBE.

As for the total energy: -53.18 eV/cell. For the formation energy without anion corrections, the calculation gives 0.55 kcal/mol of atoms. The relative energy among the computed polymorphs comes out at 1.03 eV/f.u. Its size of the total moment is 0.219 μB per atom. The calculation puts the density of states at the Fermi level at 1.0720 states/eV/atom.

The structure belongs to space group R-3m (No. 166, hexagonal axes); the cell edges are 3.2911, 3.2911 and 27.1280 Å and the angles 90.00°, 90.00° and 120.00°. Symmetry generates all atoms from Sr at (0.0000, 0.0000, 0.0000), Re at (0.0000, 0.0000, 0.5000) and Cl at (0.0000, 0.0000, 0.4132).

Sr2ReCl after structural relaxation. Source: Alexandria, functional PBE.

As for the total energy: -64.93 eV/cell. For the formation energy without anion corrections, the calculation gives 8.23 kcal/mol of atoms. The relative energy among the computed polymorphs comes out at 1.83 eV/f.u. Its size of the total moment is 0.501 μB per atom. The calculation puts the density of states at the Fermi level at 1.9374 states/eV/atom.

The structure belongs to space group Fm-3m (No. 225); the cell edges are 7.6496, 7.6496 and 7.6496 Å and the angles 90.00°, 90.00° and 90.00°. Symmetry generates all atoms from Sr at (0.2500, 0.2500, 0.2500), Re at (0.0000, 0.0000, 0.0000) and Cl at (0.0000, 0.0000, 0.5000).

SrReCl2 after structural relaxation. Source: Alexandria, functional PBE.

As for the total energy: -35.07 eV/cell. For the formation energy without anion corrections, the calculation gives 1.67 kcal/mol of atoms. The relative energy among the computed polymorphs comes out at 1.22 eV/f.u. Its size of the total moment is 0.699 μB per atom. The calculation puts the density of states at the Fermi level at 0.4902 states/eV/atom.

The structure belongs to space group C2/m (No. 12); the cell edges are 6.8199, 8.9928 and 3.5127 Å and the angles 90.00°, 120.01° and 90.00°. Symmetry generates all atoms from Sr at (0.0000, 0.0000, 0.0000), Re at (0.0000, 0.5000, 0.0000) and Cl at (0.2500, 0.2500, 0.0000).

SrReCl2 after structural relaxation. Source: Alexandria, functional PBE.

As for the total energy: -69.02 eV/cell. For the formation energy without anion corrections, the calculation gives 3.28 kcal/mol of atoms. The relative energy among the computed polymorphs comes out at 1.50 eV/f.u. Its size of the total moment is 1.250 μB per atom. The calculation puts the density of states at the Fermi level at 1.0086 states/eV/atom.

The structure belongs to space group Fm-3m (No. 225); the cell edges are 7.3710, 7.3710 and 7.3710 Å and the angles 90.00°, 90.00° and 90.00°. Symmetry generates all atoms from Sr at (0.0000, 0.0000, 0.0000), Re at (0.0000, 0.0000, 0.5000) and Cl at (0.2500, 0.2500, 0.2500).

Sr2ReCl after structural relaxation. Source: Alexandria, functional PBE.

As for the total energy: -34.81 eV/cell. For the formation energy without anion corrections, the calculation gives 1.46 kcal/mol of atoms. The relative energy among the computed polymorphs comes out at 0.65 eV/f.u. Its size of the total moment is 0.001 μB per atom. The calculation puts the density of states at the Fermi level at 1.0354 states/eV/atom.

The structure belongs to space group Amm2 (No. 38); the cell edges are 5.5147, 3.2078 and 11.7379 Å and the angles 90.00°, 90.00° and 90.00°. Symmetry generates all atoms from Sr at (0.0000, 0.0000, 0.0000), Sr at (0.5000, 0.0000, 0.2470), Re at (0.0000, 0.0000, 0.7419) and Cl at (0.5000, 0.0000, 0.5054).